# 1
First-principles (GGA-PBE) data for crystalline KCoRh2 at its relaxed geometry, as listed in the Alexandria database.

Lattice parameters (Å, degrees): 5.257 5.257 2.627 90.00 90.00 113.71
Site moments in Bohr magnetons follow the coordinates.
Positions (direct):
Co: 0.500 0.000 0.500  1.95
K: 0.000 0.500 0.500  -0.02
Rh: 0.000 0.000 0.000  0.68
Rh: 0.500 0.500 0.000  0.68

Properties
**Calculated total energy**: -4.806 eV per atom
**ΔH_f (0 K)**: 0.921 eV per atom

***

# 2
First-principles (GGA-PBE) data for crystalline KCoRh2 at its relaxed geometry, as listed in the Alexandria database.

Lattice parameters (Å, degrees): 2.748 2.748 9.679 90.00 90.00 116.25
Site moments in Bohr magnetons follow the coordinates.
Positions (direct):
Co: 0.500 0.500 0.250  2.13
K: 0.500 0.500 0.750  -0.01
Rh: 0.000 0.000 0.038  0.55
Rh: 0.000 0.000 0.462  0.55

Properties
**Calculated total energy**: -5.141 eV per atom
**ΔH_f (0 K)**: 0.586 eV per atom

***

# 3
First-principles (GGA-PBE) data for crystalline KCoRh2 at its relaxed geometry, as listed in the Alexandria database.

Lattice parameters (Å, degrees): 4.911 4.911 8.626 73.46 73.46 90.00
Site moments in Bohr magnetons follow the coordinates.
Positions (direct):
Co: 0.000 0.000 0.000  1.43
Co: 0.750 0.250 0.500  1.43
K: 0.500 0.500 0.000  0.00
K: 0.250 0.750 0.500  0.00
Rh: 0.795 0.125 0.250  0.32
Rh: 0.955 0.625 0.250  0.32
Rh: 0.375 0.205 0.750  0.32
Rh: 0.875 0.045 0.750  0.32

Properties
**Calculated total energy**: -4.774 eV per atom
**ΔH_f (0 K)**: 0.953 eV per atom

***

- Which value of calculated total energy does entry 3 give?
  -4.774 eV per atom